# PBE-GGA SmErZr2, optimized geometry
data_SmErZr2
_chemical_formula_sum 'Sm3 Er3 Zr6'
_cell_length_a 3.3680
_cell_length_b 3.3680
_cell_length_c 32.7726
_cell_angle_alpha 90.00
_cell_angle_beta 90.00
_cell_angle_gamma 120.00
_space_group_name_H-M_alt 'R 3 m'
_space_group_IT_number 160
_space_group_name_Hall 'R 3 -2"'
loop_
_atom_site_label
_atom_site_type_symbol
_atom_site_fract_x
_atom_site_fract_y
_atom_site_fract_z
Sm1 Sm 0.0000 0.0000 0.0000
Er1 Er 0.0000 0.0000 0.1669
Zr1 Zr 0.0000 0.0000 0.5819
Zr2 Zr 0.0000 0.0000 0.7511
# **VASP energy**: -6.46 eV/atom
# **Offset from the most stable computed form**: 0 meV/atom
# **Total moment**: 0.000 Bohr magnetons per cell
# **Energy relative to the elements**: 0.14 eV/atom